Entry 1:
BaBe2Au | GGA-PBE | optimized geometry

```
BaBe2Au
1.0
4.1134 -0.0032 0.0164
2.0634 3.5584 0.0164
2.0084 1.1560 5.8305
Be Au Ba
2 1 1
Direct
0.0693 0.0693 0.7914
0.4307 0.4307 0.7086
0.7500 0.7500 0.7500
0.2500 0.2500 0.2500
```

Results
V	85.2	Å³ per cell
DFT formation energy	-0.7	eV/f.u.
spin magnetization	0.000	Bohr magnetons per cell
ΔE to the lowest computed polymorph	0	meV per atom
crystal system	monoclinic
SG	C2/m, No. 12
DOS(E_F)	2.58	states/eV/cell


Entry 2:
Ba2BeAu | GGA-PBE | optimized geometry

```
Ba2BeAu
1.0
-1.2278 1.6508 6.0949
-5.4849 0.9826 3.2142
-0.0960 -4.1725 1.1097
Be Au Ba
1 1 2
Direct
0.4138 0.4138 0.6249
0.3320 0.3320 0.1251
0.0237 0.0237 0.1250
0.7304 0.7304 0.6250
```

Results
V	131.8	Å³ per cell
DFT formation energy	-0.7	eV/f.u.
spin magnetization	0.000	Bohr magnetons per cell
crystal system	orthorhombic
SG	Amm2, No. 38
DOS(E_F)	4.88	states/eV/cell


Entry 3:
BaBe2Au | GGA-PBE | optimized geometry

```
BaBe2Au
1.0
-3.1662 1.5263 -2.1542
-3.8143 -1.4112 0.6743
-2.3783 4.2017 3.8186
Be Au Ba
2 1 1
Direct
0.0763 0.0763 0.7822
0.7551 0.7551 0.7456
0.4306 0.4306 0.7139
0.2380 0.2380 0.2584
```

Results
V	87.6	Å³ per cell
DFT formation energy	-0.6	eV/f.u.
spin magnetization	0.000	Bohr magnetons per cell
ΔE to the lowest computed polymorph	20	meV per atom
crystal system	monoclinic
SG	Cm, No. 8
DOS(E_F)	2.36	states/eV/cell


Entry 4:
BaBe4Au | GGA-PBE | optimized geometry

```
BaBe4Au
1.0
0.0000 3.6504 3.6504
3.6504 0.0000 3.6504
3.6504 3.6504 0.0000
Ba Be Au
1 4 1
Direct
0.0000 0.0000 0.0000
0.8309 0.3897 0.3897
0.3897 0.3897 0.8309
0.3897 0.8309 0.3897
0.3897 0.3897 0.3897
0.7500 0.7500 0.7500
```

Results
V	97.3	Å³ per cell
DFT formation energy	3.1	eV/f.u.
spin magnetization	0.000	Bohr magnetons per cell
crystal system	cubic
SG	F-43m, No. 216
DOS(E_F)	2.96	states/eV/cell


Entry 5:
Ba4BeAu | GGA-PBE | optimized geometry

```
Ba4BeAu
1.0
0.0000 5.0303 5.0303
5.0303 0.0000 5.0303
5.0303 5.0303 0.0000
Ba Be Au
4 1 1
Direct
0.8755 0.3748 0.3748
0.3748 0.3748 0.8755
0.3748 0.8755 0.3748
0.3748 0.3748 0.3748
0.7500 0.7500 0.7500
0.0000 0.0000 0.0000
```

Results
V	254.6	Å³ per cell
DFT formation energy	4.7	eV/f.u.
spin magnetization	1.206	Bohr magnetons per cell
crystal system	cubic
SG	F-43m, No. 216
DOS(E_F)	9.20	states/eV/cell


Entry 6:
BaBe2Au | GGA-PBE | optimized geometry

```
BaBe2Au
1.0
4.9844 0.0129 0.0000
-0.0100 4.9845 0.0000
0.0000 0.0000 3.1673
Be Au Ba
2 1 1
Direct
0.0000 0.0000 0.0000
0.5000 0.5000 0.0000
0.5000 0.0000 0.5000
0.0000 0.5000 0.5000
```

Results
V	78.7	Å³ per cell
DFT formation energy	3.3	eV/f.u.
spin magnetization	0.000	Bohr magnetons per cell
ΔE to the lowest computed polymorph	1000	meV per atom
crystal system	tetragonal
SG	P4/mmm, No. 123
DOS(E_F)	2.40	states/eV/cell


Entry 7:
Ba2BeAu | GGA-PBE | optimized geometry

```
Ba2BeAu
1.0
-0.5328 -3.1848 3.4612
3.5819 -2.8665 1.1663
3.5511 3.3372 6.8298
Be Au Ba
1 1 2
Direct
0.7500 0.7500 0.7500
0.2500 0.2500 0.2500
0.9987 0.9987 0.0031
0.5013 0.5013 0.4969
```

Results
V	153.8	Å³ per cell
DFT formation energy	0.3	eV/f.u.
spin magnetization	0.000	Bohr magnetons per cell
crystal system	monoclinic
SG	C2/m, No. 12
DOS(E_F)	3.37	states/eV/cell


Entry 8:
BaBe2Au | GGA-PBE | optimized geometry

```
BaBe2Au
1.0
-1.8932 -3.6632 -1.1241
3.4862 -1.0684 -2.3896
2.0847 -2.3294 4.0801
Be Au Ba
2 1 1
Direct
0.0000 0.0054 0.2501
0.0000 0.4946 0.2499
0.5000 0.2500 0.2500
0.5000 0.7500 0.7500
```

Results
V	95.8	Å³ per cell
DFT formation energy	0.0	eV/f.u.
spin magnetization	0.000	Bohr magnetons per cell
ΔE to the lowest computed polymorph	169	meV per atom
crystal system	orthorhombic
SG	Pmmm, No. 47
DOS(E_F)	2.17	states/eV/cell


Entry 9:
BaBe3Au | GGA-PBE | optimized geometry

```
BaBe3Au
1.0
-0.4220 -4.3865 -3.7224
-2.7811 -3.1118 3.9822
-5.0362 2.0859 -1.8871
Be Au Ba
3 1 1
Direct
0.0000 0.5000 0.0000
0.0000 0.0000 0.5000
0.5000 0.0000 0.0000
0.5000 0.5000 0.5000
0.0000 0.0000 0.0000
```

Results
V	191.9	Å³ per cell
DFT formation energy	11.2	eV/f.u.
spin magnetization	0.000	Bohr magnetons per cell
ΔE to the lowest computed polymorph	2064	meV per atom
crystal system	cubic
SG	Pm-3m, No. 221
DOS(E_F)	5.62	states/eV/cell


Entry 10:
BaBeAu2 | GGA-PBE | optimized geometry

```
BaBeAu2
1.0
4.9210 -0.0004 -0.0100
-0.0004 4.9210 -0.0100
0.0223 0.0223 4.1259
Be Au Ba
1 2 1
Direct
0.0000 0.5000 0.5000
0.0000 0.0000 0.0000
0.5000 0.5000 0.0000
0.5000 0.0000 0.5000
```

Results
V	99.9	Å³ per cell
DFT formation energy	0.7	eV/f.u.
spin magnetization	0.000	Bohr magnetons per cell
crystal system	monoclinic
SG	C2/m, No. 12
DOS(E_F)	1.37	states/eV/cell


Entry 11:
BaBeAu2 | GGA-PBE | optimized geometry

```
BaBeAu2
1.0
4.3826 -0.0242 -0.0026
2.2161 3.7810 -0.0026
2.2025 1.2539 5.8388
Be Au Ba
1 2 1
Direct
0.2500 0.2500 0.2500
0.9502 0.9502 0.1490
0.5498 0.5498 0.3510
0.7500 0.7500 0.7500
```

Results
V	97.1	Å³ per cell
DFT formation energy	-1.4	eV/f.u.
spin magnetization	0.000	Bohr magnetons per cell
crystal system	trigonal
SG	R-3m, No. 166
DOS(E_F)	2.30	states/eV/cell


Entry 12:
BaBeAu2 | GGA-PBE | optimized geometry

```
BaBeAu2
1.0
5.5228 -0.0683 -0.0408
0.7142 5.4768 0.0408
-2.0791 -3.9029 3.3094
Be Au Ba
1 2 1
Direct
0.2500 0.7500 0.5000
0.0810 0.0810 0.0000
0.4190 0.4190 0.0000
0.7500 0.2500 0.5000
```

Results
V	100.8	Å³ per cell
DFT formation energy	-0.8	eV/f.u.
spin magnetization	0.000	Bohr magnetons per cell
crystal system	orthorhombic
SG	Immm, No. 71
DOS(E_F)	1.85	states/eV/cell